# 1
# meta-GGA SCAN CuSiAgHg2, PBEsol geometry
# * calculated density: 9.4 g/cm³
# * ΔE_f (raw): 0.512 eV per atom
data_CuSiAgHg2
_chemical_formula_sum 'Cu1 Si1 Ag1 Hg2'
_cell_length_a 4.938
_cell_length_b 4.938
_cell_length_c 4.338
_cell_angle_alpha 90.00
_cell_angle_beta 90.00
_cell_angle_gamma 90.00
_symmetry_space_group_name_H-M 'P 4/m m m'
_symmetry_Int_Tables_number 123
_symmetry_space_group_name_Hall '-P 4 2'
loop_
_atom_site_label
_atom_site_type_symbol
_atom_site_fract_x
_atom_site_fract_y
_atom_site_fract_z
Cu1 Cu 0.000 0.000 0.000
Si1 Si 0.000 0.000 0.500
Ag1 Ag 0.500 0.500 0.500
Hg1 Hg 0.000 0.500 0.000



# 2
# meta-GGA SCAN CuAgI2, PBEsol geometry
# * calculated density: 6.0 g/cm³
# * ΔE_f (raw): -0.166 eV per atom
data_CuAgI2
_chemical_formula_sum 'Cu4 Ag4 I8'
_cell_length_a 6.231
_cell_length_b 6.231
_cell_length_c 12.161
_cell_angle_alpha 90.00
_cell_angle_beta 90.00
_cell_angle_gamma 90.00
_symmetry_space_group_name_H-M 'I -4 2 d'
_symmetry_Int_Tables_number 122
_symmetry_space_group_name_Hall 'I -4 2bw'
loop_
_atom_site_label
_atom_site_type_symbol
_atom_site_fract_x
_atom_site_fract_y
_atom_site_fract_z
Cu1 Cu 0.000 0.000 0.000
Ag1 Ag 0.000 0.000 0.500
I1 I 0.221 0.250 0.125



# 3
# meta-GGA SCAN CuAgI2N, PBEsol geometry
# * calculated density: 5.9 g/cm³
# * ΔE_f (raw): 1.080 eV per atom
data_CuAgI2N
_chemical_formula_sum 'Cu1 Ag1 I2 N1'
_cell_length_a 5.613
_cell_length_b 5.613
_cell_length_c 3.934
_cell_angle_alpha 90.00
_cell_angle_beta 90.00
_cell_angle_gamma 90.00
_symmetry_space_group_name_H-M 'P 4/m m m'
_symmetry_Int_Tables_number 123
_symmetry_space_group_name_Hall '-P 4 2'
loop_
_atom_site_label
_atom_site_type_symbol
_atom_site_fract_x
_atom_site_fract_y
_atom_site_fract_z
Cu1 Cu 0.000 0.000 0.000
Ag1 Ag 0.500 0.500 0.500
I1 I 0.000 0.500 0.500
N1 N 0.500 0.500 0.000



# 4
# meta-GGA SCAN CuAgIO2, PBEsol geometry
# * energy relative to the lowest polymorph listed for this composition: 1.73 eV per formula unit
# * calculated density: 5.5 g/cm³
# * ΔE_f (raw): 0.479 eV per atom
data_CuAgIO2
_chemical_formula_sum 'Cu1 Ag1 I1 O2'
_cell_length_a 3.845
_cell_length_b 3.845
_cell_length_c 6.693
_cell_angle_alpha 90.00
_cell_angle_beta 90.00
_cell_angle_gamma 90.00
_symmetry_space_group_name_H-M 'P 4/m m m'
_symmetry_Int_Tables_number 123
_symmetry_space_group_name_Hall '-P 4 2'
loop_
_atom_site_label
_atom_site_type_symbol
_atom_site_fract_x
_atom_site_fract_y
_atom_site_fract_z
Cu1 Cu 0.000 0.000 0.000
Ag1 Ag 0.500 0.500 0.500
I1 I 0.500 0.500 0.000
O1 O 0.000 0.500 0.500



# 5
# meta-GGA SCAN CuAgIO2, PBEsol geometry
# * energy relative to the lowest polymorph listed for this composition: 0.00 eV per formula unit
# * calculated density: 6.3 g/cm³
# * ΔE_f (raw): 0.132 eV per atom
data_CuAgIO2
_chemical_formula_sum 'Cu1 Ag1 I1 O2'
_cell_length_a 3.798
_cell_length_b 3.798
_cell_length_c 6.028
_cell_angle_alpha 90.00
_cell_angle_beta 90.00
_cell_angle_gamma 90.00
_symmetry_space_group_name_H-M 'P 4/m m m'
_symmetry_Int_Tables_number 123
_symmetry_space_group_name_Hall '-P 4 2'
loop_
_atom_site_label
_atom_site_type_symbol
_atom_site_fract_x
_atom_site_fract_y
_atom_site_fract_z
Cu1 Cu 0.000 0.000 0.000
Ag1 Ag 0.500 0.500 0.500
I1 I 0.000 0.000 0.500
O1 O 0.000 0.500 0.000



# 6
# meta-GGA SCAN CuAgTe2I, PBEsol geometry
# * calculated density: 6.7 g/cm³
# * ΔE_f (raw): 0.511 eV per atom
data_CuAgTe2I
_chemical_formula_sum 'Cu1 Ag1 Te2 I1'
_cell_length_a 5.084
_cell_length_b 5.084
_cell_length_c 5.306
_cell_angle_alpha 90.00
_cell_angle_beta 90.00
_cell_angle_gamma 90.00
_symmetry_space_group_name_H-M 'P 4/m m m'
_symmetry_Int_Tables_number 123
_symmetry_space_group_name_Hall '-P 4 2'
loop_
_atom_site_label
_atom_site_type_symbol
_atom_site_fract_x
_atom_site_fract_y
_atom_site_fract_z
Cu1 Cu 0.000 0.000 0.000
Ag1 Ag 0.500 0.500 0.500
Te1 Te 0.000 0.500 0.000
I1 I 0.000 0.000 0.500



# 7
# meta-GGA SCAN InCuAg2, PBEsol geometry
# * calculated density: 10.0 g/cm³
# * energy of formation: 4.62 kJ/mol of atoms
data_InCuAg2
_chemical_formula_sum 'In2 Cu2 Ag4'
_cell_length_a 3.994
_cell_length_b 3.994
_cell_length_c 8.223
_cell_angle_alpha 90.00
_cell_angle_beta 90.00
_cell_angle_gamma 90.00
_symmetry_space_group_name_H-M 'I 4/m m m'
_symmetry_Int_Tables_number 139
_symmetry_space_group_name_Hall '-I 4 2'
loop_
_atom_site_label
_atom_site_type_symbol
_atom_site_fract_x
_atom_site_fract_y
_atom_site_fract_z
In1 In 0.000 0.000 0.000
Cu1 Cu 0.000 0.000 0.500
Ag1 Ag 0.000 0.500 0.250



# 8
# meta-GGA SCAN InCuAg2, PBEsol geometry
# * calculated density: 10.0 g/cm³
# * energy of formation: 5.19 kJ/mol of atoms
data_InCuAg2
_chemical_formula_sum 'In1 Cu1 Ag2'
_cell_length_a 3.981
_cell_length_b 3.981
_cell_length_c 4.138
_cell_angle_alpha 90.00
_cell_angle_beta 90.00
_cell_angle_gamma 90.00
_symmetry_space_group_name_H-M 'P 4/m m m'
_symmetry_Int_Tables_number 123
_symmetry_space_group_name_Hall '-P 4 2'
loop_
_atom_site_label
_atom_site_type_symbol
_atom_site_fract_x
_atom_site_fract_y
_atom_site_fract_z
In1 In 0.000 0.000 0.000
Cu1 Cu 0.500 0.500 0.000
Ag1 Ag 0.000 0.500 0.500



Q: calculated density of number 6 (CuAgTe2I)?
A: 6.7 g/cm³